## K2CoBr2 (GGA-PBE)

Data for a relaxed structure of K2CoBr2.

```
10
Lattice="6.301 0.000 0.000 0.000 6.301 0.000 0.000 0.000 11.894" Properties=species:S:1:pos:R:3 pbc="T T T"
K 0.000 0.000 2.359
K 0.000 0.000 9.535
K 3.150 3.150 3.588
K 3.150 3.150 8.306
Co 0.000 0.000 5.947
Co 3.150 3.150 0.000
Br 0.000 3.150 2.974
Br 0.000 3.150 8.921
Br 3.150 0.000 2.974
Br 3.150 0.000 8.921
```

Output
The symmetry is No. 139. The density of states at the Fermi level is 1.491 states/eV/atom. The spin magnetization is 0.600 μB per atom. The total energy is -0.2055 Ry per atom.